# Pu2ScTiP4 PBE optimized geometry
data_Pu2ScTiP4
_chemical_formula_sum 'Pu2 Sc1 Ti1 P4'
_cell_length_a 6.544
_cell_length_b 3.820
_cell_length_c 6.617
_cell_angle_alpha 90.00
_cell_angle_beta 109.60
_cell_angle_gamma 90.00
_space_group_name_H-M_alt 'P 1 2/m 1'
_space_group_IT_number 10
loop_
_space_group_symop_operation_xyz
'x,y,z'
'-x,-y,-z'
'-x,y,-z'
'x,-y,z'
loop_
_atom_site_label
_atom_site_type_symbol
_atom_site_fract_x
_atom_site_fract_y
_atom_site_fract_z
Pu1 Pu 0.000 0.000 0.000
Pu2 Pu 0.000 0.500 0.500
Sc1 Sc 0.500 0.000 0.500
Ti1 Ti 0.500 0.500 0.000
P1 P 0.270 0.500 0.247
P2 P 0.274 0.000 0.764
# N(E_F): 20.41 states/eV/cell
# magnetic moment: 0.16 μB/cell
# energy relative to the elements: -1208.6 meV/atom
# crystal system: monoclinic

# PuScU2P4 PBE optimized geometry
data_PuScU2P4
_chemical_formula_sum 'Pu1 Sc1 U2 P4'
_cell_length_a 6.752
_cell_length_b 3.894
_cell_length_c 6.770
_cell_angle_alpha 90.00
_cell_angle_beta 109.30
_cell_angle_gamma 90.00
_space_group_name_H-M_alt 'P 1 2/m 1'
_space_group_IT_number 10
loop_
_space_group_symop_operation_xyz
'x,y,z'
'-x,-y,-z'
'-x,y,-z'
'x,-y,z'
loop_
_atom_site_label
_atom_site_type_symbol
_atom_site_fract_x
_atom_site_fract_y
_atom_site_fract_z
Pu1 Pu 0.000 0.000 0.000
Sc1 Sc 0.500 0.500 0.000
U1 U 0.000 0.500 0.500
U2 U 0.500 0.000 0.500
P1 P 0.256 0.500 0.249
P2 P 0.258 0.000 0.754
# N(E_F): 17.59 states/eV/cell
# magnetic moment: 5.17 μB/cell
# energy relative to the elements: -1126.1 meV/atom
# crystal system: monoclinic